Entry 1:
Density functional theory data (PBE) for an optimized crystal structure of KLa2Si.

Values from the calculation:
As for the space group: I-4m2 (119). For the uncorrected formation energy, the calculation gives 164 meV/atom.

POSCAR file:
```
KLa2Si
1.0
6.375 0.013 0.000
2.833 5.711 0.000
-4.604 -2.862 3.355
K La Si
1 2 1
Direct
0.750 0.250 0.500 K
0.000 0.000 0.000 La
0.250 0.750 0.500 La
0.500 0.500 0.000 Si
```

Entry 2:
Density functional theory data (PBE) for an optimized crystal structure of ScTa2W.

Values from the calculation:
As for the space group: I-42d (122). The formation energy is 0.76 eV per atom.

POSCAR file:
```
ScTa2W
1.0
-4.984 1.183 5.492
-5.618 -1.064 -4.869
-5.297 -2.716 0.914
Sc Ta W
2 4 2
Direct
0.250 0.750 0.500 Sc
0.500 0.500 0.000 Sc
0.875 0.904 0.750 Ta
0.375 0.346 0.750 Ta
0.096 0.625 0.250 Ta
0.654 0.125 0.250 Ta
0.750 0.250 0.500 W
0.000 0.000 0.000 W
```

Entry 3:
Density functional theory data (PBE) for an optimized crystal structure of BaY2Sc.

Values from the calculation:
As for the space group: I-4m2 (119). The formation energy is 0.30 eV per atom. The energy above the most stable polymorph in this dataset is 0.149 eV/atom.

POSCAR file:
```
BaY2Sc
1.0
6.239 -0.020 0.000
1.855 5.957 0.000
-4.047 -2.968 3.706
Y Sc Ba
2 1 1
Direct
0.250 0.750 0.500 Y
0.000 0.000 0.000 Y
0.750 0.250 0.500 Sc
0.500 0.500 0.000 Ba
```